A relaxed structure of Er4TlCdHg2. Source: Alexandria, functional PBE.

Lattice parameters (Å, degrees): 9.153 9.153 9.153 33.27 33.27 33.27
Sites, in units of the cell vectors:
Er  0.124  0.124  0.124
Er  0.375  0.375  0.375
Er  0.625  0.625  0.625
Er  0.876  0.876  0.876
Tl  0.500  0.500  0.500
Cd  0.000  0.000  0.000
Hg  0.255  0.255  0.255
Hg  0.745  0.745  0.745

Calculated values
DFT total energy ... -3.16 eV per atom
ΔH_f (0 K) ... -0.392 eV/atom
Density of states at the Fermi level ... 8.02 states/eV per cell
Symmetry ... R-3m
ρ ... 11.209 g cm⁻³

A relaxed structure of ErTlCdHg. Source: Alexandria, functional PBE.

Lattice parameters (Å, degrees): 4.218 4.819 4.849 90.00 90.00 90.00
Sites, in units of the cell vectors:
Er  0.000  0.000  0.000
Tl  0.500  0.500  0.000
Cd  0.000  0.500  0.500
Hg  0.500  0.000  0.500

Calculated values
DFT total energy ... -2.30 eV per atom
ΔH_f (0 K) ... -0.261 eV/atom
Density of states at the Fermi level ... 1.83 states/eV per cell
Symmetry ... Pmmm
ρ ... 11.533 g cm⁻³
Energy above the lowest structure with this stoichiometry ... 0 meV per atom

A relaxed structure of ErZrCdHg. Source: Alexandria, functional PBE.

Lattice parameters (Å, degrees): 5.104 5.104 5.104 60.00 60.00 60.00
Sites, in units of the cell vectors:
Er  0.000  0.000  0.000
Zr  0.500  0.500  0.500
Cd  0.250  0.250  0.250
Hg  0.750  0.750  0.750

Calculated values
DFT total energy ... -3.77 eV per atom
ΔH_f (0 K) ... -0.192 eV/atom
Density of states at the Fermi level ... 4.05 states/eV per cell
Symmetry ... F-43m
ρ ... 10.095 g cm⁻³

A relaxed structure of Ho3Er2Cd6. Source: Alexandria, functional PBE.

Lattice parameters (Å, degrees): 14.263 14.263 14.263 160.07 160.07 28.32
Sites, in units of the cell vectors:
Ho  0.000  0.000  0.000
Ho  0.138  0.138  0.000
Ho  0.862  0.862  0.000
Er  0.366  0.366  0.000
Er  0.634  0.634  0.000
Cd  0.066  0.566  0.500
Cd  0.253  0.253  0.000
Cd  0.434  0.934  0.500
Cd  0.566  0.066  0.500
Cd  0.747  0.747  0.000
Cd  0.934  0.434  0.500

Calculated values
DFT total energy ... -2.46 eV per atom
ΔH_f (0 K) ... 0.117 eV/atom
Density of states at the Fermi level ... 9.49 states/eV per cell
Symmetry ... I4/mmm
ρ ... 7.414 g cm⁻³